{
  "formula": "PmYTh2",
  "functional": "PBE",
  "state": "relaxed",
  "rho_g_cm3": 8.868,
  "formation_energy_ev_per_atom": 0.0495,
  "m_tot_mub_per_fu": 0.00,
  "n_ef_per_ev_fu": 5.9,
  "relative_energy_mev_per_atom": 21.2,
  "cell": [[3.586, 0.000, 0.000], [1.793, 3.105, 0.000], [1.793, 1.035, 11.739]],
  "species": ["Th", "Th", "Pm", "Y"],
  "fractional_positions": [[0.251, 0.251, 0.248], [0.083, 0.083, 0.752], [0.498, 0.498, 0.505], [0.668, 0.668, 0.995]]
}